Compound: Tb3MnO
Source: Alexandria
Functional: GGA+U
Structure: optimized geometry

The calculation puts the total energy at -6.333 eV/atom. The density of states at the Fermi level comes out at 3.96 states/eV/cell.

Geometry as extended XYZ:
```
5
Lattice="4.8215 0.0000 0.0000 0.0000 4.8215 0.0000 0.0000 0.0000 4.8215" Properties=species:S:1:pos:R:3 pbc="T T T"
Tb 0.0000 0.0000 2.4107
Tb 0.0000 2.4107 0.0000
Tb 2.4107 0.0000 0.0000
Mn 2.4107 2.4107 2.4107
O 0.0000 0.0000 0.0000
```